[1]
# KPuBi2

Crystalline KPuBi2 at its relaxed geometry (PBE, the Open Quantum Materials Database).

## Properties
Uncorrected energy, eV per atom: -6.254

Cell lengths 3.5673, 3.5673, 10.0470 Å; angles 90.00, 90.00, 90.00 degrees
Sites, in units of the cell vectors:
1 Bi 0.0000 0.0000 0.7289
2 Bi 0.0000 0.0000 0.2711
3 Pu 0.5000 0.5000 0.5000
4 K 0.5000 0.5000 0.0000



[2]
# CsRbCuP

Crystalline CsRbCuP at its relaxed geometry (PBE, the Open Quantum Materials Database).

## Properties
Uncorrected energy, eV per atom: -3.002

Cell lengths 6.1266, 6.5590, 6.5590 Å; angles 109.23, 90.00, 90.00 degrees
Sites, in units of the cell vectors:
1 Rb 0.5000 0.8162 0.4819
2 Rb 0.5000 0.4819 0.8162
3 P 0.0000 0.7796 0.7796
4 P 0.5000 0.2151 0.2151
5 Cu 0.2498 0.9978 0.9978
6 Cu 0.7502 0.9978 0.9978
7 Cs 0.0000 0.1853 0.5262
8 Cs 0.0000 0.5262 0.1853



[3]
# LaDyZn2As2O2

Crystalline LaDyZn2As2O2 at its relaxed geometry (PBE, the Open Quantum Materials Database).

## Properties
Uncorrected energy, eV per atom: -5.763

Cell lengths 4.0203, 4.0203, 8.9720 Å; angles 90.00, 90.00, 90.00 degrees
Sites, in units of the cell vectors:
1 Zn 0.5000 0.0000 0.5018
2 Zn 0.0000 0.5000 0.5018
3 Dy 0.5000 0.5000 0.8769
4 O 0.0000 0.5000 0.9919
5 O 0.5000 0.0000 0.9919
6 As 0.5000 0.5000 0.3225
7 As 0.0000 0.0000 0.6791
8 La 0.0000 0.0000 0.1340